Crystalline NaNiAg2 at its relaxed geometry, computed with PBE.

Structure (CIF):
```
data_NaNiAg2
_symmetry_space_group_name_H-M 'P 1'
_symmetry_Int_Tables_number 1
_symmetry_space_group_name_Hall 'P 1'
_cell_length_a 9.8658
_cell_length_b 9.8658
_cell_length_c 9.8658
_cell_angle_alpha 156.59
_cell_angle_beta 156.59
_cell_angle_gamma 33.34
loop_
_atom_site_label
_atom_site_type_symbol
_atom_site_fract_x
_atom_site_fract_y
_atom_site_fract_z
Na1 Na 0.0000 0.0000 0.0000
Na2 Na 0.7500 0.2500 0.5000
Ni1 Ni 0.2500 0.7500 0.5000
Ni2 Ni 0.5000 0.5000 0.0000
Ag1 Ag 0.1412 0.6250 0.0162
Ag2 Ag 0.3750 0.3912 0.5162
Ag3 Ag 0.6088 0.1250 0.9838
Ag4 Ag 0.8750 0.8588 0.4838
```

## Properties
- D(E_F) (states/eV per atom) = 0.43
- energy of formation (eV per formula unit) = 1.929
- distance to the lowest polymorph of the same formula (meV per atom) = 221
- magnetic moment (μB per cell) = 0.000
- final energy (eV per atom) = -2.7186
- SG = I-42d



Crystalline Er2Al2GaRh5 at its relaxed geometry, computed with PBE.

Structure (CIF):
```
data_Er2Al2GaRh5
_symmetry_space_group_name_H-M 'P 1'
_symmetry_Int_Tables_number 1
_symmetry_space_group_name_Hall 'P 1'
_cell_length_a 9.9007
_cell_length_b 9.9007
_cell_length_c 3.3653
_cell_angle_alpha 90.00
_cell_angle_beta 90.00
_cell_angle_gamma 90.00
loop_
_atom_site_label
_atom_site_type_symbol
_atom_site_fract_x
_atom_site_fract_y
_atom_site_fract_z
Er1 Er 0.1732 0.3268 0.0000
Er2 Er 0.3268 0.8268 0.0000
Er3 Er 0.6732 0.1732 0.0000
Er4 Er 0.8268 0.6732 0.0000
Al1 Al 0.1267 0.6267 0.0000
Al2 Al 0.3733 0.1267 0.0000
Al3 Al 0.6267 0.8733 0.0000
Al4 Al 0.8733 0.3733 0.0000
Ga1 Ga 0.0000 0.0000 0.0000
Ga2 Ga 0.5000 0.5000 0.0000
Rh1 Rh 0.0000 0.5000 0.5000
Rh2 Rh 0.0658 0.7984 0.5000
Rh3 Rh 0.2016 0.0658 0.5000
Rh4 Rh 0.2984 0.5658 0.5000
Rh5 Rh 0.4342 0.2984 0.5000
Rh6 Rh 0.5000 0.0000 0.5000
Rh7 Rh 0.5658 0.7016 0.5000
Rh8 Rh 0.7016 0.4342 0.5000
Rh9 Rh 0.7984 0.9342 0.5000
Rh10 Rh 0.9342 0.2016 0.5000
```

## Properties
- D(E_F) (states/eV per atom) = 0.48
- energy of formation (eV per formula unit) = -8.807
- magnetic moment (μB per cell) = 0.000
- final energy (eV per atom) = -6.5202
- SG = P4/mbm



Crystalline BaMgH3 at its relaxed geometry, computed with PBE.

Structure (CIF):
```
data_BaMgH3
_symmetry_space_group_name_H-M 'P 1'
_symmetry_Int_Tables_number 1
_symmetry_space_group_name_Hall 'P 1'
_cell_length_a 4.1978
_cell_length_b 4.1978
_cell_length_c 4.1978
_cell_angle_alpha 90.00
_cell_angle_beta 90.00
_cell_angle_gamma 90.00
loop_
_atom_site_label
_atom_site_type_symbol
_atom_site_fract_x
_atom_site_fract_y
_atom_site_fract_z
Ba1 Ba 0.0000 0.0000 0.0000
Mg1 Mg 0.5000 0.5000 0.5000
H1 H 0.0000 0.5000 0.5000
H2 H 0.5000 0.0000 0.5000
H3 H 0.5000 0.5000 0.0000
```

## Properties
- D(E_F) (states/eV per atom) = 0.38
- distance to the lowest polymorph of the same formula (meV per atom) = 27
- magnetic moment (μB per cell) = 0.585
- final energy (eV per atom) = -2.9315
- SG = Pm-3m



Crystalline LaCu7Ni5 at its relaxed geometry, computed with PBE.

Structure (CIF):
```
data_LaCu7Ni5
_symmetry_space_group_name_H-M 'P 1'
_symmetry_Int_Tables_number 1
_symmetry_space_group_name_Hall 'P 1'
_cell_length_a 6.4249
_cell_length_b 6.4249
_cell_length_c 6.4249
_cell_angle_alpha 135.80
_cell_angle_beta 98.11
_cell_angle_gamma 98.17
loop_
_atom_site_label
_atom_site_type_symbol
_atom_site_fract_x
_atom_site_fract_y
_atom_site_fract_z
La1 La 0.0000 0.0000 0.0000
Cu1 Cu 0.2248 0.4967 0.7282
Cu2 Cu 0.3492 0.9945 0.3547
Cu3 Cu 0.3505 0.3505 0.0000
Cu4 Cu 0.6399 0.9945 0.6453
Cu5 Cu 0.6445 0.6445 0.0000
Cu6 Cu 0.7659 0.2659 0.5000
Cu7 Cu 0.7685 0.4967 0.2718
Ni1 Ni 0.2250 0.7250 0.5000
Ni2 Ni 0.4946 0.4961 0.4980
Ni3 Ni 0.4946 0.9965 0.9985
Ni4 Ni 0.9980 0.4961 0.0015
Ni5 Ni 0.9980 0.9965 0.5020
```

## Properties
- D(E_F) (states/eV per atom) = 0.67
- energy of formation (eV per formula unit) = -1.303
- magnetic moment (μB per cell) = 0.000
- final energy (eV per atom) = -4.9085
- SG = Imm2



Crystalline TbBiH at its relaxed geometry, computed with PBE.

Structure (CIF):
```
data_TbBiH
_symmetry_space_group_name_H-M 'P 1'
_symmetry_Int_Tables_number 1
_symmetry_space_group_name_Hall 'P 1'
_cell_length_a 3.7520
_cell_length_b 5.7352
_cell_length_c 6.2786
_cell_angle_alpha 80.84
_cell_angle_beta 72.74
_cell_angle_gamma 89.88
loop_
_atom_site_label
_atom_site_type_symbol
_atom_site_fract_x
_atom_site_fract_y
_atom_site_fract_z
Tb1 Tb 0.1472 0.3004 0.2061
Tb2 Tb 0.8528 0.6996 0.7939
Bi1 Bi 0.4146 0.2083 0.6705
Bi2 Bi 0.5854 0.7917 0.3295
H1 H 0.2669 0.6282 0.9672
H2 H 0.7331 0.3718 0.0328
```

## Properties
- D(E_F) (states/eV per atom) = 0.23
- distance to the lowest polymorph of the same formula (meV per atom) = 39
- magnetic moment (μB per cell) = 0.000
- final energy (eV per atom) = -4.5519
- SG = P-1



Crystalline Rb2SmAg2Br6 at its relaxed geometry, computed with PBE.

Structure (CIF):
```
data_Rb2SmAg2Br6
_symmetry_space_group_name_H-M 'P 1'
_symmetry_Int_Tables_number 1
_symmetry_space_group_name_Hall 'P 1'
_cell_length_a 7.9114
_cell_length_b 7.9114
_cell_length_c 8.8380
_cell_angle_alpha 114.70
_cell_angle_beta 114.70
_cell_angle_gamma 64.09
loop_
_atom_site_label
_atom_site_type_symbol
_atom_site_fract_x
_atom_site_fract_y
_atom_site_fract_z
Rb1 Rb 0.2147 0.2147 0.1581
Rb2 Rb 0.7853 0.7853 0.8419
Sm1 Sm 0.0000 0.0000 0.5000
Ag1 Ag 0.4497 0.4497 0.8231
Ag2 Ag 0.5503 0.5503 0.1769
Br1 Br 0.1693 0.7021 0.2272
Br2 Br 0.2290 0.2290 0.5555
Br3 Br 0.2979 0.8307 0.7728
Br4 Br 0.7021 0.1693 0.2272
Br5 Br 0.7710 0.7710 0.4445
Br6 Br 0.8307 0.2979 0.7728
```

## Properties
- D(E_F) (states/eV per atom) = 0.20
- magnetic moment (μB per cell) = 0.933
- final energy (eV per atom) = -3.2722
- SG = C2/m
- raw formation energy (eV/atom) = -1.236



Crystalline AlMoPt2 at its relaxed geometry, computed with PBE.

Structure (CIF):
```
data_AlMoPt2
_symmetry_space_group_name_H-M 'P 1'
_symmetry_Int_Tables_number 1
_symmetry_space_group_name_Hall 'P 1'
_cell_length_a 8.9382
_cell_length_b 8.9382
_cell_length_c 8.9382
_cell_angle_alpha 18.21
_cell_angle_beta 18.21
_cell_angle_gamma 18.21
loop_
_atom_site_label
_atom_site_type_symbol
_atom_site_fract_x
_atom_site_fract_y
_atom_site_fract_z
Al1 Al 0.0000 0.0000 0.0000
Mo1 Mo 0.5000 0.5000 0.5000
Pt1 Pt 0.2545 0.2545 0.2545
Pt2 Pt 0.7455 0.7455 0.7455
```

## Properties
- D(E_F) (states/eV per atom) = 0.72
- energy of formation (eV per formula unit) = -1.701
- magnetic moment (μB per cell) = 0.000
- final energy (eV per atom) = -7.0891
- SG = R-3m



Crystalline Be3IrOs at its relaxed geometry, computed with PBE.

Structure (CIF):
```
data_Be3IrOs
_symmetry_space_group_name_H-M 'P 1'
_symmetry_Int_Tables_number 1
_symmetry_space_group_name_Hall 'P 1'
_cell_length_a 4.0601
_cell_length_b 4.0601
_cell_length_c 4.0601
_cell_angle_alpha 90.00
_cell_angle_beta 90.00
_cell_angle_gamma 90.00
loop_
_atom_site_label
_atom_site_type_symbol
_atom_site_fract_x
_atom_site_fract_y
_atom_site_fract_z
Be1 Be 0.0000 0.0000 0.5000
Be2 Be 0.0000 0.5000 0.0000
Be3 Be 0.5000 0.0000 0.0000
Ir1 Ir 0.0000 0.0000 0.0000
Os1 Os 0.5000 0.5000 0.5000
```

## Properties
- D(E_F) (states/eV per atom) = 0.70
- energy of formation (eV per formula unit) = 4.501
- distance to the lowest polymorph of the same formula (meV per atom) = 0
- magnetic moment (μB per cell) = 0.826
- final energy (eV per atom) = -5.3538
- SG = Pm-3m



Which value of magnetic moment does entry 7 give? 0.000 μB per cell